No. 1
VASP calculation (PBE) on a geometry-optimized RbTl2PtI structure.

Cell and atoms, written as POSCAR:
```
RbTl2PtI
1.0
5.344 0.000 0.000
0.000 5.344 0.000
0.000 0.000 6.651
Rb Tl Pt I
1 2 1 1
direct
0.000 0.000 0.000
0.000 0.500 0.500
0.500 0.000 0.500
0.000 0.000 0.500
0.500 0.500 0.000
```

Space group   P4/mmm, No. 123

No. 2
VASP calculation (PBE) on a geometry-optimized Rb2TlPtI6 structure.

Cell and atoms, written as POSCAR:
```
Rb2TlPtI6
1.0
4.048 2.337 16.346
-4.048 2.337 16.346
0.000 -4.674 16.346
Rb Tl Pt I
4 2 2 12
direct
0.138 0.138 0.138
0.307 0.307 0.307
0.693 0.693 0.693
0.862 0.862 0.862
0.418 0.418 0.418
0.582 0.582 0.582
0.000 0.000 0.000
0.500 0.500 0.500
0.139 0.632 0.632
0.193 0.193 0.713
0.193 0.713 0.193
0.287 0.807 0.807
0.368 0.368 0.861
0.368 0.861 0.368
0.632 0.139 0.632
0.632 0.632 0.139
0.713 0.193 0.193
0.807 0.287 0.807
0.807 0.807 0.287
0.861 0.368 0.368
```

Space group   R-3m, No. 166
E above lowest polymorph   6.9 meV/atom

No. 3
VASP calculation (PBE) on a geometry-optimized Rb2VPtI6 structure.

Cell and atoms, written as POSCAR:
```
Rb2VPtI6
1.0
-3.945 3.945 6.342
3.945 -3.945 6.342
3.945 3.945 -6.342
Rb V Pt I
2 1 1 6
direct
0.250 0.750 0.500
0.750 0.250 0.500
0.000 0.000 0.000
0.500 0.500 0.000
0.217 0.217 0.000
0.260 0.260 0.519
0.260 0.740 0.000
0.740 0.260 0.000
0.740 0.740 0.481
0.783 0.783 0.000
```

Space group   I4/mmm, No. 139

No. 4
VASP calculation (PBE) on a geometry-optimized Rb2YPtI6 structure.

Cell and atoms, written as POSCAR:
```
Rb2YPtI6
1.0
-4.265 4.265 5.783
4.265 -4.265 5.783
4.265 4.265 -5.783
Rb Y Pt I
2 1 1 6
direct
0.250 0.750 0.500
0.750 0.250 0.500
0.000 0.000 0.000
0.500 0.500 0.000
0.252 0.252 0.503
0.252 0.748 0.000
0.263 0.263 0.000
0.737 0.737 0.000
0.748 0.252 0.000
0.748 0.748 0.497
```

Space group   I4/mmm, No. 139

No. 5
VASP calculation (PBE) on a geometry-optimized RbZrPt2I structure.

Cell and atoms, written as POSCAR:
```
RbZrPt2I
1.0
5.017 0.000 0.000
0.000 5.017 0.000
0.000 0.000 11.242
Rb Zr Pt I
1 1 2 1
direct
0.000 0.000 0.000
0.000 0.000 0.500
0.000 0.500 0.500
0.500 0.000 0.500
0.500 0.500 0.000
```

Space group   P4/mmm, No. 123

No. 6
VASP calculation (PBE) on a geometry-optimized RePt2I structure.

Cell and atoms, written as POSCAR:
```
RePt2I
1.0
6.608 0.000 0.000
0.000 6.608 0.000
0.000 0.000 6.608
Re Pt I
4 8 4
direct
0.000 0.000 0.000
0.000 0.500 0.500
0.500 0.000 0.500
0.500 0.500 0.000
0.250 0.250 0.250
0.250 0.250 0.750
0.250 0.750 0.250
0.250 0.750 0.750
0.750 0.250 0.250
0.750 0.250 0.750
0.750 0.750 0.250
0.750 0.750 0.750
0.000 0.000 0.500
0.000 0.500 0.000
0.500 0.000 0.000
0.500 0.500 0.500
```

Space group   Fm-3m, No. 225
E above lowest polymorph   251.8 meV/atom

No. 7
VASP calculation (PBE) on a geometry-optimized RePtI3 structure.

Cell and atoms, written as POSCAR:
```
RePtI3
1.0
5.513 0.000 0.000
0.000 5.513 0.000
0.000 0.000 5.513
Re Pt I
1 1 3
direct
0.000 0.000 0.000
0.500 0.500 0.500
0.000 0.500 0.500
0.500 0.000 0.500
0.500 0.500 0.000
```

Space group   Pm-3m, No. 221
E above lowest polymorph   0.0 meV/atom

No. 8
VASP calculation (PBE) on a geometry-optimized RePt2I structure.

Cell and atoms, written as POSCAR:
```
RePt2I
1.0
6.567 0.000 0.000
0.000 6.567 0.000
0.000 0.000 9.333
Re Pt I
4 8 4
direct
0.000 0.000 0.000
0.000 0.500 0.250
0.500 0.000 0.750
0.500 0.500 0.500
0.205 0.250 0.125
0.250 0.705 0.375
0.250 0.795 0.875
0.295 0.250 0.625
0.705 0.750 0.625
0.750 0.205 0.875
0.750 0.295 0.375
0.795 0.750 0.125
0.000 0.000 0.500
0.000 0.500 0.750
0.500 0.000 0.250
0.500 0.500 0.000
```

Space group   I-42d, No. 122
E above lowest polymorph   0.0 meV/atom

No. 9
VASP calculation (PBE) on a geometry-optimized RePt2I2 structure.

Cell and atoms, written as POSCAR:
```
RePt2I2
1.0
5.570 0.000 0.000
0.000 5.570 0.000
0.000 0.000 7.594
Re Pt I
2 4 4
direct
0.000 0.000 0.000
0.500 0.500 0.500
0.000 0.000 0.323
0.000 0.000 0.677
0.500 0.500 0.177
0.500 0.500 0.823
0.000 0.500 0.250
0.000 0.500 0.750
0.500 0.000 0.250
0.500 0.000 0.750
```

Space group   I4/mmm, No. 139
E above lowest polymorph   271.7 meV/atom

No. 10
VASP calculation (PBE) on a geometry-optimized RePt2I2 structure.

Cell and atoms, written as POSCAR:
```
RePt2I2
1.0
7.037 0.000 0.000
0.000 7.037 0.000
0.000 0.000 4.485
Re Pt I
2 4 4
direct
0.000 0.000 0.000
0.500 0.500 0.000
0.139 0.361 0.000
0.361 0.861 0.000
0.639 0.139 0.000
0.861 0.639 0.000
0.191 0.691 0.500
0.309 0.191 0.500
0.691 0.809 0.500
0.809 0.309 0.500
```

Space group   P4/mbm, No. 127
E above lowest polymorph   0.0 meV/atom

No. 11
VASP calculation (PBE) on a geometry-optimized Re2PtI structure.

Cell and atoms, written as POSCAR:
```
Re2PtI
1.0
5.778 0.000 0.000
0.000 5.778 0.000
0.000 0.000 11.750
Re Pt I
8 4 4
direct
0.227 0.250 0.125
0.250 0.727 0.375
0.250 0.773 0.875
0.273 0.250 0.625
0.727 0.750 0.625
0.750 0.227 0.875
0.750 0.273 0.375
0.773 0.750 0.125
0.000 0.000 0.000
0.000 0.500 0.250
0.500 0.000 0.750
0.500 0.500 0.500
0.000 0.000 0.500
0.000 0.500 0.750
0.500 0.000 0.250
0.500 0.500 0.000
```

Space group   I-42d, No. 122
E above lowest polymorph   534.2 meV/atom

No. 12
VASP calculation (PBE) on a geometry-optimized RePtI3 structure.

Cell and atoms, written as POSCAR:
```
RePtI3
1.0
5.366 0.000 0.000
0.000 5.366 0.000
0.000 0.000 5.366
Re Pt I
1 1 3
direct
0.000 0.000 0.000
0.500 0.500 0.500
0.000 0.000 0.500
0.000 0.500 0.000
0.500 0.000 0.000
```

Space group   Pm-3m, No. 221
E above lowest polymorph   85.5 meV/atom

No. 13
VASP calculation (PBE) on a geometry-optimized Re3PtI structure.

Cell and atoms, written as POSCAR:
```
Re3PtI
1.0
4.842 0.000 0.000
0.000 4.842 0.000
0.000 0.000 4.842
Re Pt I
3 1 1
direct
0.000 0.000 0.500
0.000 0.500 0.000
0.500 0.000 0.000
0.000 0.000 0.000
0.500 0.500 0.500
```

Space group   Pm-3m, No. 221
E above lowest polymorph   0.0 meV/atom

No. 14
VASP calculation (PBE) on a geometry-optimized Re2PtI structure.

Cell and atoms, written as POSCAR:
```
Re2PtI
1.0
6.441 0.000 0.000
0.000 6.441 0.000
0.000 0.000 6.441
Re Pt I
8 4 4
direct
0.250 0.250 0.250
0.250 0.250 0.750
0.250 0.750 0.250
0.250 0.750 0.750
0.750 0.250 0.250
0.750 0.250 0.750
0.750 0.750 0.250
0.750 0.750 0.750
0.000 0.000 0.000
0.000 0.500 0.500
0.500 0.000 0.500
0.500 0.500 0.000
0.000 0.000 0.500
0.000 0.500 0.000
0.500 0.000 0.000
0.500 0.500 0.500
```

Space group   Fm-3m, No. 225
E above lowest polymorph   0.0 meV/atom

No. 15
VASP calculation (PBE) on a geometry-optimized ReSbPtI2 structure.

Cell and atoms, written as POSCAR:
```
ReSbPtI2
1.0
5.481 0.000 0.000
0.000 5.481 0.000
0.000 0.000 5.293
Re Sb Pt I
1 1 1 2
direct
0.000 0.000 0.000
0.500 0.500 0.000
0.500 0.500 0.500
0.000 0.500 0.500
0.500 0.000 0.500
```

Space group   P4/mmm, No. 123
E above lowest polymorph   78.3 meV/atom

No. 16
VASP calculation (PBE) on a geometry-optimized ReSbPtI2 structure.

Cell and atoms, written as POSCAR:
```
ReSbPtI2
1.0
5.320 0.000 0.000
0.000 5.320 0.000
0.000 0.000 5.158
Re Sb Pt I
1 1 1 2
direct
0.000 0.000 0.000
0.000 0.000 0.500
0.500 0.500 0.500
0.000 0.500 0.000
0.500 0.000 0.000
```

Space group   P4/mmm, No. 123
E above lowest polymorph   0.0 meV/atom

No. 17
VASP calculation (PBE) on a geometry-optimized ReSiPt2I structure.

Cell and atoms, written as POSCAR:
```
ReSiPt2I
1.0
4.855 0.000 0.000
0.000 4.855 0.000
0.000 0.000 5.309
Re Si Pt I
1 1 2 1
direct
0.000 0.000 0.000
0.500 0.500 0.500
0.000 0.500 0.000
0.500 0.000 0.000
0.000 0.000 0.500
```

Space group   P4/mmm, No. 123

No. 18
VASP calculation (PBE) on a geometry-optimized ReTe2PtI structure.

Cell and atoms, written as POSCAR:
```
ReTe2PtI
1.0
5.317 0.000 0.000
0.000 5.317 0.000
0.000 0.000 5.418
Re Te Pt I
1 2 1 1
direct
0.000 0.000 0.000
0.000 0.500 0.500
0.500 0.000 0.500
0.500 0.500 0.500
0.500 0.500 0.000
```

Space group   P4/mmm, No. 123
E above lowest polymorph   193.0 meV/atom

No. 19
VASP calculation (PBE) on a geometry-optimized ReTe2PtI structure.

Cell and atoms, written as POSCAR:
```
ReTe2PtI
1.0
5.071 0.000 0.000
0.000 5.071 0.000
0.000 0.000 5.645
Re Te Pt I
1 2 1 1
direct
0.000 0.000 0.000
0.000 0.500 0.000
0.500 0.000 0.000
0.500 0.500 0.500
0.000 0.000 0.500
```

Space group   P4/mmm, No. 123
E above lowest polymorph   0.0 meV/atom

No. 20
VASP calculation (PBE) on a geometry-optimized PtRh2I structure.

Cell and atoms, written as POSCAR:
```
PtRh2I
1.0
6.467 0.000 0.000
0.000 6.467 0.000
0.000 0.000 6.467
Pt Rh I
4 8 4
direct
0.000 0.000 0.000
0.000 0.500 0.500
0.500 0.000 0.500
0.500 0.500 0.000
0.250 0.250 0.250
0.250 0.250 0.750
0.250 0.750 0.250
0.250 0.750 0.750
0.750 0.250 0.250
0.750 0.250 0.750
0.750 0.750 0.250
0.750 0.750 0.750
0.000 0.000 0.500
0.000 0.500 0.000
0.500 0.000 0.000
0.500 0.500 0.500
```

Space group   Fm-3m, No. 225
E above lowest polymorph   0.0 meV/atom

No. 21
VASP calculation (PBE) on a geometry-optimized PtRh2I8 structure.

Cell and atoms, written as POSCAR:
```
PtRh2I8
1.0
6.231 -4.042 0.000
6.231 4.042 0.000
-3.813 0.000 9.863
Pt Rh I
1 2 8
direct
0.000 0.000 0.000
0.105 0.105 0.395
0.895 0.895 0.605
0.120 0.120 0.650
0.134 0.706 0.803
0.294 0.866 0.197
0.331 0.331 0.475
0.669 0.669 0.525
0.706 0.134 0.803
0.866 0.294 0.197
0.880 0.880 0.350
```

Space group   C2/m, No. 12

No. 22
VASP calculation (PBE) on a geometry-optimized PtRhI4 structure.

Cell and atoms, written as POSCAR:
```
PtRhI4
1.0
13.586 0.000 0.000
0.000 3.983 0.000
-4.462 0.000 7.517
Pt Rh I
2 2 8
direct
0.000 0.000 0.000
0.500 0.500 0.000
0.000 0.500 0.500
0.500 0.000 0.500
0.051 0.500 0.853
0.154 0.000 0.590
0.346 0.500 0.410
0.449 0.000 0.147
0.551 0.000 0.853
0.654 0.500 0.590
0.846 0.000 0.410
0.949 0.500 0.147
```

Space group   C2/m, No. 12

No. 23
VASP calculation (PBE) on a geometry-optimized PtRh2I structure.

Cell and atoms, written as POSCAR:
```
PtRh2I
1.0
5.379 0.000 0.000
0.000 5.379 0.000
0.000 0.000 13.342
Pt Rh I
4 8 4
direct
0.000 0.000 0.000
0.000 0.500 0.250
0.500 0.000 0.750
0.500 0.500 0.500
0.237 0.250 0.125
0.250 0.737 0.375
0.250 0.763 0.875
0.263 0.250 0.625
0.737 0.750 0.625
0.750 0.237 0.875
0.750 0.263 0.375
0.763 0.750 0.125
0.000 0.000 0.500
0.000 0.500 0.750
0.500 0.000 0.250
0.500 0.500 0.000
```

Space group   I-42d, No. 122
E above lowest polymorph   259.7 meV/atom

No. 24
VASP calculation (PBE) on a geometry-optimized PtRhI2 structure.

Cell and atoms, written as POSCAR:
```
PtRhI2
1.0
6.969 0.000 0.000
0.000 6.969 0.000
0.000 0.000 6.969
Pt Rh I
4 4 8
direct
0.000 0.000 0.000
0.000 0.500 0.500
0.500 0.000 0.500
0.500 0.500 0.000
0.000 0.000 0.500
0.000 0.500 0.000
0.500 0.000 0.000
0.500 0.500 0.500
0.250 0.250 0.250
0.250 0.250 0.750
0.250 0.750 0.250
0.250 0.750 0.750
0.750 0.250 0.250
0.750 0.250 0.750
0.750 0.750 0.250
0.750 0.750 0.750
```

Space group   Fm-3m, No. 225
E above lowest polymorph   351.8 meV/atom

No. 25
VASP calculation (PBE) on a geometry-optimized Pt2RhI8 structure.

Cell and atoms, written as POSCAR:
```
Pt2RhI8
1.0
5.859 -4.809 0.000
5.859 4.809 0.000
-0.937 0.000 8.428
Pt Rh I
2 1 8
direct
0.135 0.135 0.379
0.865 0.865 0.621
0.000 0.000 0.000
0.037 0.665 0.867
0.094 0.094 0.683
0.335 0.963 0.133
0.353 0.353 0.482
0.647 0.647 0.518
0.665 0.037 0.867
0.906 0.906 0.317
0.963 0.335 0.133
```

Space group   C2/m, No. 12

No. 26
VASP calculation (PBE) on a geometry-optimized PtRhI3 structure.

Cell and atoms, written as POSCAR:
```
PtRhI3
1.0
5.472 0.000 0.000
0.000 5.472 0.000
0.000 0.000 5.472
Pt Rh I
1 1 3
direct
0.000 0.000 0.000
0.500 0.500 0.500
0.000 0.000 0.500
0.000 0.500 0.000
0.500 0.000 0.000
```

Space group   Pm-3m, No. 221
E above lowest polymorph   0.0 meV/atom

| no. | formation energy without anion corrections (eV/atom) | V (Å³/f.u.) |
| --- | --- | --- |
| 1 | -0.477 | 189.91 |
| 2 | -0.722 | 463.88 |
| 3 | -0.611 | 394.86 |
| 4 | -0.965 | 420.76 |
| 5 | 0.249 | 282.96 |
| 6 | 1.063 | 72.12 |
| 7 | 1.240 | 167.52 |
| 8 | 0.811 | 100.63 |
| 9 | 1.310 | 117.80 |
| 10 | 1.038 | 111.04 |
| 11 | 1.606 | 98.07 |
| 12 | 1.325 | 154.52 |
| 13 | 2.591 | 113.54 |
| 14 | 1.072 | 66.81 |
| 15 | 1.362 | 158.98 |
| 16 | 1.284 | 145.96 |
| 17 | 1.392 | 125.12 |
| 18 | 1.356 | 153.21 |
| 19 | 1.163 | 145.16 |
| 20 | 0.500 | 67.63 |
| 21 | -0.029 | 496.85 |
| 22 | -0.092 | 203.42 |
| 23 | 0.760 | 96.49 |
| 24 | 0.739 | 84.63 |
| 25 | 0.026 | 474.96 |
| 26 | 0.801 | 163.87 |